A plane-wave DFT calculation with PBE-GGA was carried out for an optimized crystal structure of NpTi2Os.

abc: 4.5429 4.5429 4.5429
angles: 60.00 60.00 60.00
Positions (direct):
Np (0.0000, 0.0000, 0.0000)
Ti (0.2500, 0.2500, 0.2500)
Ti (0.7500, 0.7500, 0.7500)
Os (0.5000, 0.5000, 0.5000)

## Properties
Calculated density in g/cm3: 13.1
Space group: No. 225
Energy of formation in eV per atom: 0.04
Uncorrected energy in eV/atom: -9.946
Excess energy over the best structure of this formula in the dataset in meV per atom: 199